The following is a DFT calculation (PBE) of an optimized crystal structure of K2Rb2SbO4.

Output
The calculation puts the calculated total energy at -36.7 eV for the cell shown. The density of states at the Fermi level comes out at 0.362 states/eV per atom. Its formation energy (no corrections) is -953 meV per atom. As for the space-group type: No. 139.

The structure in extended XYZ format:
```
9
Lattice="6.505 -0.066 -0.096 -3.181 5.675 0.096 -3.181 -1.904 5.347" Properties=species:S:1:pos:R:3 pbc="T T T"
K 0.072 -0.043 3.986
O 1.477 0.808 1.167
Rb -2.201 1.305 1.883
Rb -4.160 2.466 3.559
K 0.072 3.747 1.361
Sb 0.000 0.000 0.000
O -3.181 -0.220 4.180
O -3.181 3.991 1.262
O -1.333 2.896 4.180
```